[1]
# GGA-PBE Pm3Pa3IrN8, optimized geometry
# * D(E_F): 0.38 states/eV per atom
# * uncorrected energy: -9.051 eV/atom
# * energy relative to the elements, uncorrected: -17.6 eV per formula unit
data_Pm3Pa3IrN8
_chemical_formula_sum 'Pm9 Pa9 Ir3 N24'
_cell_length_a 6.8963
_cell_length_b 6.8963
_cell_length_c 17.1924
_cell_angle_alpha 90.00
_cell_angle_beta 90.00
_cell_angle_gamma 120.00
_space_group_name_H-M_alt 'R -3 m'
_space_group_IT_number 166
_space_group_name_Hall '-R 3 2"'
loop_
_atom_site_label
_atom_site_type_symbol
_atom_site_fract_x
_atom_site_fract_y
_atom_site_fract_z
_atom_site_occupancy
Pm1 Pm 0.0000 0.5000 0.0000 1
Pa1 Pa 0.0000 0.5000 0.5000 1
Ir1 Ir 0.0000 0.0000 0.5000 1
N1 N 0.0000 0.0000 0.2417 1
N2 N 0.0085 0.5043 0.2359 1

=====

[2]
# GGA-PBE La2CuHg, optimized geometry
# * D(E_F): 0.96 states/eV per atom
# * calculated formation energy: -0.237 eV/atom
# * uncorrected energy: -3.800 eV/atom
data_La2CuHg
_chemical_formula_sum 'La4 Cu2 Hg2'
_cell_length_a 3.809
_cell_length_b 4.993
_cell_length_c 11.122
_cell_angle_alpha 90.00
_cell_angle_beta 90.00
_cell_angle_gamma 90.00
_space_group_name_H-M_alt 'I m m 2'
_space_group_IT_number 44
_space_group_name_Hall 'I 2 -2'
loop_
_atom_site_label
_atom_site_type_symbol
_atom_site_fract_x
_atom_site_fract_y
_atom_site_fract_z
_atom_site_occupancy
La1 La 0.000 0.000 0.000 1
La2 La 0.000 0.500 0.203 1
Cu1 Cu 0.000 0.000 0.468 1
Hg1 Hg 0.000 0.500 0.785 1

=====

[3]
# GGA-PBE Fe2OsPt, optimized geometry
# * D(E_F): 0.83 states/eV per atom
# * calculated formation energy: 0.062 eV/atom
# * distance to the lowest polymorph of the same formula: 25 kJ/mol of formula units
# * uncorrected energy: -8.487 eV/atom
data_Fe2OsPt
_chemical_formula_sum 'Fe6 Os3 Pt3'
_cell_length_a 2.7026
_cell_length_b 2.7026
_cell_length_c 25.8669
_cell_angle_alpha 90.00
_cell_angle_beta 90.00
_cell_angle_gamma 120.00
_space_group_name_H-M_alt 'R 3 m'
_space_group_IT_number 160
_space_group_name_Hall 'R 3 -2"'
loop_
_atom_site_label
_atom_site_type_symbol
_atom_site_fract_x
_atom_site_fract_y
_atom_site_fract_z
_atom_site_occupancy
Fe1 Fe 0.0000 0.0000 0.0000 1
Fe2 Fe 0.0000 0.0000 0.2551 1
Os1 Os 0.0000 0.0000 0.7446 1
Pt1 Pt 0.0000 0.0000 0.5045 1

=====

[4]
# GGA-PBE LaNi2Pb, optimized geometry
# * D(E_F): 0.57 states/eV per atom
# * calculated formation energy: -0.071 eV/atom
# * uncorrected energy: -5.120 eV/atom
data_LaNi2Pb
_chemical_formula_sum 'La1 Ni2 Pb1'
_cell_length_a 3.408
_cell_length_b 3.408
_cell_length_c 7.058
_cell_angle_alpha 90.00
_cell_angle_beta 90.00
_cell_angle_gamma 90.00
_space_group_name_H-M_alt 'P 4 m m'
_space_group_IT_number 99
_space_group_name_Hall 'P 4 -2'
loop_
_atom_site_label
_atom_site_type_symbol
_atom_site_fract_x
_atom_site_fract_y
_atom_site_fract_z
_atom_site_occupancy
La1 La 0.000 0.000 0.000 1
Ni1 Ni 0.000 0.000 0.387 1
Ni2 Ni 0.500 0.500 0.231 1
Pb1 Pb 0.500 0.500 0.605 1

=====

[5]
# GGA-PBE TbNd2DyS4, optimized geometry
# * D(E_F): 0.56 states/eV per atom
# * uncorrected energy: -6.426 eV/atom
# * energy relative to the elements, uncorrected: -16.1 eV per formula unit
data_TbNd2DyS4
_chemical_formula_sum 'Tb1 Nd2 Dy1 S4'
_cell_length_a 6.875
_cell_length_b 3.941
_cell_length_c 7.024
_cell_angle_alpha 90.00
_cell_angle_beta 108.81
_cell_angle_gamma 90.00
_space_group_name_H-M_alt 'P 1 2/m 1'
_space_group_IT_number 10
_space_group_name_Hall '-P 2y'
loop_
_atom_site_label
_atom_site_type_symbol
_atom_site_fract_x
_atom_site_fract_y
_atom_site_fract_z
_atom_site_occupancy
Tb1 Tb 0.000 0.000 0.000 1
Nd1 Nd 0.000 0.500 0.500 1
Nd2 Nd 0.500 0.000 0.500 1
Dy1 Dy 0.500 0.500 0.000 1
S1 S 0.246 0.500 0.235 1
S2 S 0.256 0.000 0.765 1

=====

[6]
# GGA-PBE BiP2SeCl, optimized geometry
# * D(E_F): 0.78 states/eV per atom
# * distance to the lowest polymorph of the same formula: 186 kJ/mol of formula units
# * uncorrected energy: -3.007 eV/atom
# * energy relative to the elements, uncorrected: 5.0 eV per formula unit
data_BiP2SeCl
_chemical_formula_sum 'Bi1 P2 Se1 Cl1'
_cell_length_a 5.410
_cell_length_b 5.410
_cell_length_c 5.156
_cell_angle_alpha 90.00
_cell_angle_beta 90.00
_cell_angle_gamma 90.00
_space_group_name_H-M_alt 'P 4/m m m'
_space_group_IT_number 123
_space_group_name_Hall '-P 4 2'
loop_
_atom_site_label
_atom_site_type_symbol
_atom_site_fract_x
_atom_site_fract_y
_atom_site_fract_z
_atom_site_occupancy
Bi1 Bi 0.000 0.000 0.000 1
P1 P 0.000 0.500 0.000 1
Se1 Se 0.500 0.500 0.500 1
Cl1 Cl 0.000 0.000 0.500 1

=====

[7]
# GGA-PBE Ge2S4F, optimized geometry
# * D(E_F): 0.28 states/eV per atom
# * uncorrected energy: -4.336 eV/atom
# * energy relative to the elements, uncorrected: -2.7 eV per formula unit
data_Ge2S4F
_chemical_formula_sum 'Ge16 S32 F8'
_cell_length_a 12.775
_cell_length_b 13.713
_cell_length_c 6.771
_cell_angle_alpha 90.00
_cell_angle_beta 90.00
_cell_angle_gamma 90.00
_space_group_name_H-M_alt 'F d d 2'
_space_group_IT_number 43
_space_group_name_Hall 'F 2 -2d'
loop_
_atom_site_label
_atom_site_type_symbol
_atom_site_fract_x
_atom_site_fract_y
_atom_site_fract_z
_atom_site_occupancy
Ge1 Ge 0.117 0.419 0.000 1
S1 S 0.038 0.406 0.303 1
S2 S 0.040 0.311 0.783 1
F1 F 0.000 0.000 0.377 1

=====

[8]
# GGA-PBE UInGaBr6, optimized geometry
# * D(E_F): 0.89 states/eV per atom
# * uncorrected energy: -4.023 eV/atom
# * energy relative to the elements, uncorrected: -9.1 eV per formula unit
data_UInGaBr6
_chemical_formula_sum 'U2 In2 Ga2 Br12'
_cell_length_a 7.7470
_cell_length_b 7.7470
_cell_length_c 13.6980
_cell_angle_alpha 90.00
_cell_angle_beta 90.00
_cell_angle_gamma 120.00
_space_group_name_H-M_alt 'P -3 1 c'
_space_group_IT_number 163
_space_group_name_Hall '-P 3 2c'
loop_
_atom_site_label
_atom_site_type_symbol
_atom_site_fract_x
_atom_site_fract_y
_atom_site_fract_z
_atom_site_occupancy
U1 U 0.3333 0.6667 0.2500 1
In1 In 0.0000 0.0000 0.0000 1
Ga1 Ga 0.3333 0.6667 0.7500 1
Br1 Br 0.0314 0.3762 0.1335 1

=====

[9]
# GGA-PBE Hg3SeBr, optimized geometry
# * D(E_F): 0.39 states/eV per atom
# * distance to the lowest polymorph of the same formula: 0 kJ/mol of formula units
# * uncorrected energy: -1.251 eV/atom
# * energy relative to the elements, uncorrected: -0.2 eV per formula unit
data_Hg3SeBr
_chemical_formula_sum 'Hg3 Se1 Br1'
_cell_length_a 5.521
_cell_length_b 5.521
_cell_length_c 5.521
_cell_angle_alpha 90.00
_cell_angle_beta 90.00
_cell_angle_gamma 90.00
_space_group_name_H-M_alt 'P m -3 m'
_space_group_IT_number 221
_space_group_name_Hall '-P 4 2 3'
loop_
_atom_site_label
_atom_site_type_symbol
_atom_site_fract_x
_atom_site_fract_y
_atom_site_fract_z
_atom_site_occupancy
Hg1 Hg 0.000 0.000 0.500 1
Se1 Se 0.000 0.000 0.000 1
Br1 Br 0.500 0.500 0.500 1

=====

[10]
# GGA-PBE La2Ge3Ir2, optimized geometry
# * D(E_F): 0.62 states/eV per atom
# * calculated formation energy: -0.677 eV/atom
# * distance to the lowest polymorph of the same formula: 22 kJ/mol of formula units
# * uncorrected energy: -6.596 eV/atom
data_La2Ge3Ir2
_chemical_formula_sum 'La4 Ge6 Ir4'
_cell_length_a 10.735
_cell_length_b 4.252
_cell_length_c 7.158
_cell_angle_alpha 90.00
_cell_angle_beta 117.14
_cell_angle_gamma 90.00
_space_group_name_H-M_alt 'C 1 2/m 1'
_space_group_IT_number 12
_space_group_name_Hall '-C 2y'
loop_
_atom_site_label
_atom_site_type_symbol
_atom_site_fract_x
_atom_site_fract_y
_atom_site_fract_z
_atom_site_occupancy
La1 La 0.145 0.000 0.273 1
Ge1 Ge 0.000 0.500 0.500 1
Ge2 Ge 0.133 0.500 0.937 1
Ir1 Ir 0.136 0.000 0.720 1

=====

[11]
# GGA-PBE MgBi2Rh2, optimized geometry
# * D(E_F): 0.45 states/eV per atom
# * calculated formation energy: -0.154 eV/atom
# * distance to the lowest polymorph of the same formula: 56 kJ/mol of formula units
# * uncorrected energy: -4.966 eV/atom
data_MgBi2Rh2
_chemical_formula_sum 'Mg2 Bi4 Rh4'
_cell_length_a 7.378
_cell_length_b 7.378
_cell_length_c 3.847
_cell_angle_alpha 90.00
_cell_angle_beta 90.00
_cell_angle_gamma 90.00
_space_group_name_H-M_alt 'P 4/m b m'
_space_group_IT_number 127
_space_group_name_Hall '-P 4 2ab'
loop_
_atom_site_label
_atom_site_type_symbol
_atom_site_fract_x
_atom_site_fract_y
_atom_site_fract_z
_atom_site_occupancy
Mg1 Mg 0.000 0.000 0.000 1
Bi1 Bi 0.161 0.339 0.500 1
Rh1 Rh 0.142 0.642 0.000 1

=====

[12]
# GGA-PBE PrSmGdMg, optimized geometry
# * D(E_F): 1.50 states/eV per atom
# * calculated formation energy: 0.028 eV/atom
# * uncorrected energy: -6.266 eV/atom
data_PrSmGdMg
_chemical_formula_sum 'Pr4 Sm4 Gd4 Mg4'
_cell_length_a 7.950
_cell_length_b 7.950
_cell_length_c 7.950
_cell_angle_alpha 90.00
_cell_angle_beta 90.00
_cell_angle_gamma 90.00
_space_group_name_H-M_alt 'F -4 3 m'
_space_group_IT_number 216
_space_group_name_Hall 'F -4 2 3'
loop_
_atom_site_label
_atom_site_type_symbol
_atom_site_fract_x
_atom_site_fract_y
_atom_site_fract_z
_atom_site_occupancy
Pr1 Pr 0.000 0.000 0.000 1
Sm1 Sm 0.000 0.000 0.500 1
Gd1 Gd 0.250 0.250 0.750 1
Mg1 Mg 0.250 0.250 0.250 1